Record 1
A relaxed Pm2ScPa crystal. Source: Alexandria via LeMat-Bulk, functional PBE.

The structure in POSCAR format:
```
Pm2ScPa
1.0
-3.1051 -0.6547 0.9518
-1.7651 -2.3135 -1.5837
2.5061 -9.4014 7.4754
Pm Sc Pa
2 1 1
direct
0.0885 0.0885 0.7345
0.9115 0.9115 0.2655
0.5000 0.5000 0.5000
0.0000 0.0000 0.0000
```

Results
* space group: R-3m
* distance to the lowest polymorph of the same formula: 114 meV per atom
* energy of formation: 1.2 eV per formula unit
* calculated total energy: -24.143 eV per cell
* spin magnetization: 0.00 μB per atom



Record 2
A relaxed BeZnPt2 crystal. Source: Alexandria via LeMat-Bulk, functional PBE.

The structure in POSCAR format:
```
BeZnPt2
1.0
2.7826 0.0000 0.0000
0.0000 3.5365 0.0000
0.0000 0.0000 5.5930
Pt Zn Be
2 1 1
direct
0.0000 0.0000 0.9460
0.5000 0.5000 0.2745
0.0000 0.0000 0.4980
0.5000 0.5000 0.7815
```

Results
* space group: Pmm2
* distance to the lowest polymorph of the same formula: 247 meV per atom
* energy of formation: -1.7 eV per formula unit
* calculated total energy: -18.810 eV per cell
* spin magnetization: 0.00 μB per atom



Record 3
A relaxed TbSm12In3 crystal. Source: Alexandria via LeMat-Bulk, functional PBE.

The structure in POSCAR format:
```
TbSm12In3
1.0
-2.2437 -4.1284 1.5487
1.6680 -2.4032 -3.9898
16.6453 -5.2499 10.1207
Sm In Tb
12 3 1
direct
0.0000 0.5000 0.6231
0.5000 0.5000 0.5000
0.5000 0.5000 0.2545
0.5000 0.0000 0.8691
0.5000 0.5000 0.7455
0.5000 0.0000 0.3769
0.0000 0.5000 0.8691
0.5000 0.5000 0.0000
0.0000 0.5000 0.1309
0.5000 0.0000 0.1309
0.0000 0.5000 0.3769
0.5000 0.0000 0.6231
0.0000 0.0000 0.7439
0.0000 0.0000 0.5000
0.0000 0.0000 0.2561
0.0000 0.0000 0.0000
```

Results
* space group: P4/mmm
* energy of formation: -3.1 eV per formula unit
* calculated total energy: -72.584 eV per cell
* spin magnetization: 0.00 μB per atom



Record 4
A relaxed NaCu6P2 crystal. Source: Alexandria via LeMat-Bulk, functional PBE.

The structure in POSCAR format:
```
NaCu6P2
1.0
-1.3651 -3.7360 -0.1036
3.0343 -1.0434 -2.3529
4.3074 -1.7493 6.3307
Na Cu P
1 6 2
direct
0.0000 0.0000 0.0000
0.0000 0.5000 0.2939
0.0000 0.0000 0.5000
0.5000 0.0000 0.2939
0.5000 0.5000 0.5000
0.5000 0.0000 0.7061
0.0000 0.5000 0.7061
0.5000 0.5000 0.1465
0.5000 0.5000 0.8535
```

Results
* space group: P4/mmm
* energy of formation: -1.0 eV per formula unit
* calculated total energy: -37.737 eV per cell
* spin magnetization: 0.00 μB per atom



Record 5
A relaxed Cs5KRb2Hg2 crystal. Source: Alexandria via LeMat-Bulk, functional PBE.

The structure in POSCAR format:
```
Cs5KRb2Hg2
1.0
-2.5332 4.6221 -1.3174
-15.0080 -7.6677 1.9567
-0.1946 4.5514 16.3434
Cs Hg Rb K
10 4 4 2
direct
0.5000 0.5000 0.0000
0.5000 0.0690 0.7818
0.5000 0.5690 0.7182
0.5000 0.0000 0.5000
0.5000 0.7818 0.9310
0.5000 0.2818 0.5690
0.5000 0.4310 0.2818
0.5000 0.2182 0.0690
0.5000 0.9310 0.2182
0.5000 0.7182 0.4310
0.0000 0.3761 0.1239
0.0000 0.1239 0.6239
0.0000 0.8761 0.3761
0.0000 0.6239 0.8761
0.0000 0.8237 0.6763
0.0000 0.1763 0.3237
0.0000 0.6763 0.1763
0.0000 0.3237 0.8237
0.0000 0.5000 0.5000
0.0000 0.0000 0.0000
```

Results
* space group: P4/mbm
* energy of formation: -0.9 eV per formula unit
* calculated total energy: -17.525 eV per cell
* spin magnetization: 0.00 μB per atom



Record 6
A relaxed TbDy2ThSe4 crystal. Source: Alexandria via LeMat-Bulk, functional PBE.

The structure in POSCAR format:
```
TbDy2ThSe4
1.0
4.0699 0.0000 0.0000
0.0000 7.1642 -0.1754
0.0000 2.4897 6.6958
Se Tb Dy Th
4 1 2 1
direct
0.5000 0.7559 0.2532
0.5000 0.2441 0.7468
0.0000 0.7604 0.7410
0.0000 0.2396 0.2590
0.0000 0.5000 0.5000
0.0000 0.0000 0.0000
0.5000 0.0000 0.5000
0.5000 0.5000 0.0000
```

Results
* space group: P2/m
* formation energy without anion corrections: -1689 meV per atom
* calculated total energy: -48.705 eV per cell
* spin magnetization: 0.00 μB per atom



| no. | volume (Å³/atom) |
| --- | --- |
| 1 | 28.8 |
| 2 | 13.8 |
| 3 | 30.9 |
| 4 | 13.8 |
| 5 | 78.2 |
| 6 | 24.6 |